1.
Material: AcErPb2
Method: DFT, GGA-PBE
State: relaxed

abc: 4.6190 5.2684 5.2684
angles: 90.00 90.00 90.00
Positions (direct):
Pb (0.0000, 0.0000, 0.5000)
Pb (0.0000, 0.5000, 0.0000)
Ac (0.5000, 0.0000, 0.0000)
Er (0.5000, 0.5000, 0.5000)

Results
Symmetry: P4/mmm

=====

2.
Material: AcErPb2
Method: DFT, GGA-PBE
State: relaxed

abc: 3.6924 6.2297 6.2297
angles: 108.72 90.00 90.00
Positions (direct):
Ac (0.0000, 0.0408, 0.9592)
Er (0.5000, 0.5662, 0.4338)
Pb (0.5000, 0.0727, 0.4647)
Pb (0.5000, 0.5353, 0.9273)

Results
Symmetry: Amm2

=====

3.
Material: Ac3ErPb3
Method: DFT, GGA-PBE
State: relaxed

abc: 8.2788 8.2788 8.7517
angles: 92.51 92.51 112.41
Positions (direct):
Ac (0.6056, 0.6056, 0.3374)
Ac (0.1626, 0.8374, 0.5000)
Ac (0.8374, 0.1626, 0.5000)
Ac (0.2354, 0.7646, 0.0000)
Ac (0.7646, 0.2354, 0.0000)
Ac (0.3944, 0.3944, 0.6626)
Er (0.7600, 0.7600, 0.9034)
Er (0.2400, 0.2400, 0.0966)
Pb (0.9311, 0.9311, 0.2097)
Pb (0.8646, 0.5171, 0.7053)
Pb (0.5171, 0.8646, 0.7053)
Pb (0.1354, 0.4829, 0.2947)
Pb (0.4829, 0.1354, 0.2947)
Pb (0.0689, 0.0689, 0.7903)

Results
Symmetry: C2/m

=====

| no. | E (eV/atom) |
| --- | --- |
| 1 | -4.4142 |
| 2 | -4.3315 |
| 3 | -4.3331 |